# 1
Computed, not measured: a relaxed BeFe2Rh crystal at the PBE-GGA level of DFT.

Properties
Crystal system: tetragonal
DOS at the Fermi energy in states/eV/cell: 4.44
Formation energy from the elements in meV/atom: -180

abc: 2.867 2.867 5.590
angles: 90.00 90.00 90.00
Positions (direct):
Rh1 0.000 0.000 0.526
Be1 0.500 0.500 0.754
Fe1 0.500 0.500 0.233
Fe2 0.000 0.000 0.987


# 2
Computed, not measured: a relaxed BeFeRh2 crystal at the PBE-GGA level of DFT.

Properties
Crystal system: orthorhombic
DOS at the Fermi energy in states/eV/cell: 4.80
Formation energy from the elements in meV/atom: -188

abc: 4.866 4.866 4.866
angles: 145.82 130.67 61.38
Positions (direct):
Be1 0.500 0.500 0.000
Rh1 0.004 0.004 0.000
Fe1 0.268 0.768 0.500
Rh2 0.728 0.228 0.500


# 3
Computed, not measured: a relaxed Be4FeRh3 crystal at the PBE-GGA level of DFT.

Properties
Crystal system: tetragonal
DOS at the Fermi energy in states/eV/cell: 4.77
Formation energy from the elements in meV/atom: -498

abc: 2.777 2.777 10.966
angles: 90.00 90.00 90.00
Positions (direct):
Be1 0.000 0.000 0.128
Be2 0.000 0.000 0.373
Fe1 0.500 0.500 0.000
Be3 0.000 0.000 0.627
Rh1 0.500 0.500 0.757
Rh2 0.500 0.500 0.243
Be4 0.000 0.000 0.872
Rh3 0.500 0.500 0.500